[1]
A plane-wave DFT calculation with PBE was carried out for crystalline La6P2S3Br at its relaxed geometry.

a b c (Å): 4.216 8.485 9.423
angles (deg): 102.54 102.93 90.00
Atoms (fractional coordinates):
P: 0.834 0.669 0.669
P: 0.166 0.331 0.331
S: 0.836 0.166 0.673
S: 0.500 0.500 0.000
S: 0.164 0.834 0.327
La: 0.325 0.908 0.650
La: 0.332 0.419 0.663
La: 0.675 0.092 0.350
La: 0.002 0.273 0.004
La: 0.998 0.727 0.996
La: 0.668 0.581 0.337
Br: 0.500 0.000 0.000

Properties
Space group: No. 12
Formation energy (no corrections) (eV/f.u.): -22.54
Crystal system: monoclinic

***

[2]
A plane-wave DFT calculation with PBE was carried out for crystalline KErSi2O6 at its relaxed geometry.

a b c (Å): 7.099 7.099 5.473
angles (deg): 99.44 99.44 87.23
Atoms (fractional coordinates):
O: 0.153 0.175 0.523
O: 0.082 0.621 0.772
O: 0.825 0.847 0.977
O: 0.379 0.918 0.728
O: 0.621 0.082 0.272
O: 0.847 0.825 0.477
O: 0.918 0.379 0.228
O: 0.310 0.453 0.358
O: 0.547 0.690 0.142
O: 0.453 0.310 0.858
O: 0.175 0.153 0.023
O: 0.690 0.547 0.642
K: 0.821 0.179 0.750
K: 0.179 0.821 0.250
Si: 0.135 0.301 0.285
Si: 0.865 0.699 0.715
Si: 0.699 0.865 0.215
Si: 0.301 0.135 0.785
Er: 0.614 0.386 0.250
Er: 0.386 0.614 0.750

Properties
Space group: No. 15
Formation energy (no corrections) (eV/f.u.): -29.23
Crystal system: monoclinic

***

[3]
A plane-wave DFT calculation with PBE was carried out for crystalline Sm2TmTe2Se2 at its relaxed geometry.

a b c (Å): 5.236 5.236 8.738
angles (deg): 107.43 107.43 90.00
Atoms (fractional coordinates):
Tm: 0.000 0.000 0.000
Te: 0.187 0.187 0.374
Te: 0.813 0.813 0.626
Sm: 0.617 0.617 0.234
Sm: 0.383 0.383 0.766
Se: 0.500 0.000 0.000
Se: 0.000 0.500 0.000

Properties
Space group: No. 139
Formation energy (no corrections) (eV/f.u.): -9.11
Crystal system: tetragonal

***

[4]
A plane-wave DFT calculation with PBE was carried out for crystalline CrRuN at its relaxed geometry.

a b c (Å): 2.735 2.735 4.239
angles (deg): 90.00 90.00 90.00
Atoms (fractional coordinates):
Cr: 0.000 0.000 0.071
Ru: 0.500 0.500 0.503
N: 0.500 0.500 0.966

Properties
Space group: No. 99
Offset from the most stable computed form (eV per atom): 0.028
Formation energy (no corrections) (eV/f.u.): -0.32
Crystal system: tetragonal

***

[5]
A plane-wave DFT calculation with PBE was carried out for crystalline CaMgTc2 at its relaxed geometry.

a b c (Å): 5.653 5.653 5.653
angles (deg): 145.87 127.75 63.90
Atoms (fractional coordinates):
Ca: 0.515 0.515 0.000
Tc: 0.788 0.288 0.500
Tc: 0.967 0.967 0.000
Mg: 0.230 0.730 0.500

Properties
Space group: No. 44
Crystal system: orthorhombic
Energy relative to the elements (eV per formula unit): 1.4

***

[6]
A plane-wave DFT calculation with PBE was carried out for crystalline Ac8Te4Rh3Au at its relaxed geometry.

a b c (Å): 8.905 9.529 8.905
angles (deg): 117.86 120.00 90.00
Atoms (fractional coordinates):
Ac: 0.726 0.713 0.970
Ac: 0.756 0.287 0.513
Ac: 0.244 0.713 0.970
Ac: 0.263 0.289 0.526
Ac: 0.756 0.287 0.030
Ac: 0.244 0.713 0.487
Ac: 0.737 0.711 0.474
Ac: 0.274 0.287 0.030
Te: 0.500 0.000 0.500
Te: 0.500 0.000 0.000
Te: 0.000 0.000 0.000
Te: 0.000 0.000 0.500
Rh: 0.500 0.500 0.500
Rh: 0.000 0.500 0.500
Rh: 0.500 0.500 0.000
Au: 0.000 0.500 0.000

Properties
Space group: No. 166
Formation energy (no corrections) (eV/f.u.): -17.74
Crystal system: trigonal

***

[7]
A plane-wave DFT calculation with PBE was carried out for crystalline LaAuBr6 at its relaxed geometry.

a b c (Å): 8.845 9.691 7.358
angles (deg): 57.92 57.63 37.05
Atoms (fractional coordinates):
Br: 0.234 0.956 0.148
Br: 0.891 0.475 0.334
Br: 0.109 0.525 0.666
Br: 0.595 0.231 0.285
Br: 0.766 0.044 0.852
Br: 0.405 0.769 0.715
Au: 0.000 0.000 0.000
La: 0.500 0.500 0.500

Properties
Space group: No. 2
Formation energy (no corrections) (eV/f.u.): -7.75
Crystal system: triclinic

***

[8]
A plane-wave DFT calculation with PBE was carried out for crystalline ScNbSN2 at its relaxed geometry.

a b c (Å): 4.010 4.010 4.933
angles (deg): 90.00 90.00 90.00
Atoms (fractional coordinates):
Nb: 0.000 0.000 0.000
S: 0.000 0.000 0.500
N: 0.500 0.000 0.000
N: 0.000 0.500 0.000
Sc: 0.500 0.500 0.500

Properties
Space group: No. 123
Offset from the most stable computed form (eV per atom): 0.000
Formation energy (no corrections) (eV/f.u.): -2.16
Crystal system: tetragonal

***

[9]
A plane-wave DFT calculation with PBE was carried out for crystalline SrMg6 at its relaxed geometry.

a b c (Å): 6.165 9.742 12.538
angles (deg): 90.00 90.00 90.00
Atoms (fractional coordinates):
Mg: 0.750 0.596 0.019
Mg: 0.750 0.096 0.481
Mg: 0.750 0.189 0.245
Mg: 0.250 0.404 0.981
Mg: 0.750 0.939 0.091
Mg: 0.991 0.563 0.810
Mg: 0.750 0.858 0.854
Mg: 0.750 0.439 0.409
Mg: 0.750 0.689 0.255
Mg: 0.509 0.563 0.810
Mg: 0.491 0.437 0.190
Mg: 0.009 0.937 0.310
Mg: 0.250 0.311 0.745
Mg: 0.491 0.937 0.310
Mg: 0.250 0.904 0.519
Mg: 0.750 0.358 0.646
Mg: 0.250 0.811 0.755
Mg: 0.250 0.142 0.146
Mg: 0.991 0.063 0.690
Mg: 0.250 0.642 0.354
Mg: 0.009 0.437 0.190
Mg: 0.250 0.561 0.591
Mg: 0.250 0.061 0.909
Mg: 0.509 0.063 0.690
Sr: 0.750 0.744 0.563
Sr: 0.750 0.244 0.937
Sr: 0.250 0.256 0.437
Sr: 0.250 0.756 0.063

Properties
Space group: No. 62
Offset from the most stable computed form (eV per atom): 0.000
Crystal system: orthorhombic
Energy relative to the elements (eV per formula unit): -0.3

***

[10]
A plane-wave DFT calculation with PBE was carried out for crystalline TaTe4Mo at its relaxed geometry.

a b c (Å): 6.081 6.081 6.081
angles (deg): 60.00 60.00 60.00
Atoms (fractional coordinates):
Te: 0.375 0.375 0.874
Te: 0.874 0.375 0.375
Te: 0.375 0.874 0.375
Te: 0.375 0.375 0.375
Mo: 0.750 0.750 0.750
Ta: 0.000 0.000 0.000

Properties
Space group: No. 216
Offset from the most stable computed form (eV per atom): 1.762
Formation energy (no corrections) (eV/f.u.): 9.22
Crystal system: cubic

***

[11]
A plane-wave DFT calculation with PBE was carried out for crystalline GaAg3 at its relaxed geometry.

a b c (Å): 5.228 5.734 9.359
angles (deg): 90.00 90.00 90.00
Atoms (fractional coordinates):
Ag: 0.741 0.129 0.010
Ag: 0.759 0.629 0.510
Ag: 0.241 0.371 0.490
Ag: 0.741 0.129 0.490
Ag: 0.259 0.871 0.990
Ag: 0.056 0.129 0.750
Ag: 0.556 0.371 0.750
Ag: 0.944 0.871 0.250
Ag: 0.444 0.629 0.250
Ag: 0.241 0.371 0.010
Ag: 0.259 0.871 0.510
Ag: 0.759 0.629 0.990
Ga: 0.414 0.116 0.250
Ga: 0.586 0.884 0.750
Ga: 0.914 0.384 0.250
Ga: 0.086 0.616 0.750

Properties
Space group: No. 62
Crystal system: orthorhombic
Energy relative to the elements (eV per formula unit): 0.0

***

[12]
A plane-wave DFT calculation with PBE was carried out for crystalline Nd8C3Cl4F at its relaxed geometry.

a b c (Å): 7.571 8.336 7.571
angles (deg): 117.01 120.00 90.00
Atoms (fractional coordinates):
C: 0.000 0.500 0.500
C: 0.500 0.500 0.000
C: 0.500 0.500 0.500
Nd: 0.715 0.695 0.955
Nd: 0.285 0.305 0.045
Nd: 0.268 0.305 0.537
Nd: 0.732 0.695 0.463
Nd: 0.760 0.305 0.519
Nd: 0.760 0.305 0.045
Nd: 0.240 0.695 0.481
Nd: 0.240 0.695 0.955
Cl: 0.000 0.000 0.000
Cl: 0.500 0.000 0.000
Cl: 0.500 0.000 0.500
Cl: 0.000 0.000 0.500
F: 0.000 0.500 0.000

Properties
Space group: No. 166
Formation energy (no corrections) (eV/f.u.): -19.67
Crystal system: trigonal

***

[13]
A plane-wave DFT calculation with PBE was carried out for crystalline ScGa3I at its relaxed geometry.

a b c (Å): 5.508 5.508 5.508
angles (deg): 90.00 90.00 90.00
Atoms (fractional coordinates):
I: 0.500 0.500 0.500
Ga: 0.500 0.000 0.000
Ga: 0.000 0.500 0.000
Ga: 0.000 0.000 0.500
Sc: 0.000 0.000 0.000

Properties
Space group: No. 221
Formation energy (no corrections) (eV/f.u.): 1.95
Crystal system: cubic

***

[14]
A plane-wave DFT calculation with PBE was carried out for crystalline Ta2TiPd5 at its relaxed geometry.

a b c (Å): 3.915 5.690 11.391
angles (deg): 90.00 90.00 90.00
Atoms (fractional coordinates):
Ti: 0.000 0.000 0.500
Ti: 0.000 0.500 0.000
Pd: 0.000 0.504 0.248
Pd: 0.500 0.241 0.622
Pd: 0.000 0.500 0.500
Pd: 0.000 0.996 0.748
Pd: 0.500 0.741 0.878
Pd: 0.000 0.496 0.752
Pd: 0.000 0.000 0.000
Pd: 0.500 0.759 0.378
Pd: 0.000 0.004 0.252
Pd: 0.500 0.259 0.122
Ta: 0.500 0.740 0.628
Ta: 0.500 0.260 0.372
Ta: 0.500 0.760 0.128
Ta: 0.500 0.240 0.872

Properties
Space group: No. 55
Crystal system: orthorhombic
Energy relative to the elements (eV per formula unit): -2.8

***

[15]
A plane-wave DFT calculation with PBE was carried out for crystalline Ba8Na3N2 at its relaxed geometry.

a b c (Å): 8.586 8.586 11.870
angles (deg): 68.80 68.80 60.00
Atoms (fractional coordinates):
N: 0.403 0.403 0.790
N: 0.597 0.597 0.210
Ba: 0.277 0.277 0.702
Ba: 0.256 0.723 0.298
Ba: 0.277 0.744 0.702
Ba: 0.723 0.256 0.298
Ba: 0.723 0.723 0.298
Ba: 0.744 0.277 0.702
Ba: 0.675 0.675 0.976
Ba: 0.325 0.325 0.024
Na: 0.202 0.202 0.395
Na: 0.000 0.000 0.000
Na: 0.798 0.798 0.605

Properties
Space group: No. 166
Formation energy (no corrections) (eV/f.u.): -2.43
Crystal system: trigonal

***

[16]
A plane-wave DFT calculation with PBE was carried out for crystalline Mg2TcBr at its relaxed geometry.

a b c (Å): 5.067 5.067 3.057
angles (deg): 90.00 90.00 108.17
Atoms (fractional coordinates):
Tc: 0.500 0.000 0.500
Mg: 0.000 0.000 0.000
Mg: 0.500 0.500 0.000
Br: 0.000 0.500 0.500

Properties
Space group: No. 65
Offset from the most stable computed form (eV per atom): 0.249
Formation energy (no corrections) (eV/f.u.): 0.88
Crystal system: orthorhombic

***

[17]
A plane-wave DFT calculation with PBE was carried out for crystalline ScCu5 at its relaxed geometry.

a b c (Å): 7.024 7.024 4.254
angles (deg): 90.00 90.00 156.97
Atoms (fractional coordinates):
Cu: 0.670 0.330 0.000
Cu: 0.213 0.787 0.500
Cu: 0.012 0.988 0.000
Cu: 0.321 0.679 0.000
Cu: 0.561 0.439 0.500
Sc: 0.889 0.111 0.500

Properties
Space group: No. 38
Crystal system: orthorhombic
Energy relative to the elements (eV per formula unit): 0.0

***

[18]
A plane-wave DFT calculation with PBE was carried out for crystalline Nd3MgTc at its relaxed geometry.

a b c (Å): 6.607 9.458 10.437
angles (deg): 113.97 90.00 90.00
Atoms (fractional coordinates):
Nd: 0.009 0.379 0.703
Nd: 0.514 0.316 0.542
Nd: 0.030 0.190 0.305
Nd: 0.970 0.810 0.695
Nd: 0.530 0.310 0.195
Nd: 0.470 0.690 0.805
Nd: 0.014 0.184 0.958
Nd: 0.509 0.121 0.797
Nd: 0.991 0.621 0.297
Nd: 0.986 0.816 0.042
Nd: 0.491 0.879 0.203
Nd: 0.486 0.684 0.458
Tc: 0.321 0.004 0.027
Tc: 0.821 0.496 0.473
Tc: 0.179 0.504 0.527
Tc: 0.679 0.996 0.973
Mg: 0.719 0.497 0.989
Mg: 0.281 0.503 0.011
Mg: 0.781 0.997 0.489
Mg: 0.219 0.003 0.511

Properties
Space group: No. 14
Offset from the most stable computed form (eV per atom): 0.000
Crystal system: monoclinic
Energy relative to the elements (eV per formula unit): 0.2

***

[19]
A plane-wave DFT calculation with PBE was carried out for crystalline LaScAlAg at its relaxed geometry.

a b c (Å): 5.163 5.163 5.163
angles (deg): 60.00 60.00 60.00
Atoms (fractional coordinates):
Ag: 0.250 0.250 0.250
La: 0.000 0.000 0.000
Al: 0.750 0.750 0.750
Sc: 0.500 0.500 0.500

Properties
Space group: No. 216
Crystal system: cubic
Energy relative to the elements (eV per formula unit): -1.1

***

[20]
A plane-wave DFT calculation with PBE was carried out for crystalline PIrCl2O at its relaxed geometry.

a b c (Å): 4.772 4.772 4.518
angles (deg): 90.00 90.00 90.00
Atoms (fractional coordinates):
P: 0.000 0.000 0.500
Cl: 0.000 0.500 0.000
Cl: 0.500 0.000 0.000
Ir: 0.000 0.000 0.000
O: 0.500 0.500 0.500

Properties
Space group: No. 123
Offset from the most stable computed form (eV per atom): 0.000
Formation energy (no corrections) (eV/f.u.): 4.34
Crystal system: tetragonal

***

[21]
A plane-wave DFT calculation with PBE was carried out for crystalline LaW3C at its relaxed geometry.

a b c (Å): 4.816 4.816 4.816
angles (deg): 90.00 90.00 90.00
Atoms (fractional coordinates):
W: 0.000 0.500 0.000
W: 0.500 0.000 0.000
W: 0.000 0.000 0.500
C: 0.500 0.500 0.500
La: 0.000 0.000 0.000

Properties
Space group: No. 221
Offset from the most stable computed form (eV per atom): 3.645
Crystal system: cubic
Energy relative to the elements (eV per formula unit): 21.4

***

[22]
A plane-wave DFT calculation with PBE was carried out for crystalline ReRuC3 at its relaxed geometry.

a b c (Å): 3.897 3.897 3.897
angles (deg): 90.00 90.00 90.00
Atoms (fractional coordinates):
C: 0.000 0.000 0.500
C: 0.000 0.500 0.000
C: 0.500 0.000 0.000
Re: 0.500 0.500 0.500
Ru: 0.000 0.000 0.000

Properties
Space group: No. 221
Offset from the most stable computed form (eV per atom): 0.587
Crystal system: cubic
Energy relative to the elements (eV per formula unit): 13.6

***

In order of appearance, calculated total energy = -76.98 -150.97 -36.27 -27.54 -22.91 -88.50 -25.99 -39.34 -46.08 -26.03 -46.48 -94.74 -15.01 -120.76 -38.42 -14.35 -26.85 -104.28 -18.92 -18.58 -31.61 -35.82 eV/cell.